Density functional theory data (GGA+U) for a geometry-optimized FeRe2PbO8 structure.

## Properties
Energy (eV per atom): -7.4554
Crystal system: trigonal

Cell: 9.0182 9.0182 9.0182 Å, 37.57 37.57 37.57°
Sites, in units of the cell vectors:
Fe1 0.0000 0.0000 0.0000
Re1 0.2603 0.2603 0.2603
Re2 0.7397 0.7397 0.7397
Pb1 0.5000 0.5000 0.5000
O1 0.1197 0.1197 0.6137
O2 0.1197 0.6137 0.1197
O3 0.1901 0.1901 0.1901
O4 0.3863 0.8803 0.8803
O5 0.6137 0.1197 0.1197
O6 0.8099 0.8099 0.8099
O7 0.8803 0.3863 0.8803
O8 0.8803 0.8803 0.3863